Compound: LiTl3Cd
Source: Alexandria
Functional: PBE-GGA
Structure: optimized geometry

Cell lengths 5.679, 5.679, 5.679 Å; angles 90.00, 90.00, 90.00 degrees
Fractional positions:
1 Tl 0.000 0.500 0.000
2 Tl 0.000 0.000 0.500
3 Tl 0.500 0.000 0.000
4 Li 0.500 0.500 0.500
5 Cd 0.000 0.000 0.000

Output
The calculation puts the volume at 183 Å³/f.u. The density of states at the Fermi level is 3.18 states/eV/f.u. The total magnetization comes out at 0.00 μB per formula unit. Its symmetry is No. 221. As for the energy above the most stable polymorph in this dataset: 0.322 eV/atom. The value obtained for the theoretical density is 6.64 g/cm³.